VASP calculation (PBE) on an optimized crystal structure of Nd4HCSe2.

```
8
Lattice="3.9844 0.0000 0.0000 0.0000 6.8255 0.1951 0.0000 -2.3175 6.6747" Properties=species:S:1:pos:R:3 pbc="T T T"
Nd 1.9922 1.2793 1.5622
Nd 1.9922 3.2286 5.3076
Nd 0.0000 0.0142 5.3601
Nd 0.0000 4.4938 1.5097
H 0.0000 0.0000 0.0000
C 1.9922 3.4127 0.0976
Se 1.9922 -1.1588 3.3374
Se 0.0000 2.2540 3.4349
```

Output
Raw total energy = -46.92 eV for the cell shown
Fermi-level density of states = 3.43 states/eV/cell
Symmetry = P2/m (10)
Crystal system = monoclinic

VASP calculation (PBE) on an optimized crystal structure of TiNbGaMo.

```
4
Lattice="-1.0094 -4.2538 -1.1677 0.5202 -3.3524 2.9946 -3.6327 -2.0321 1.7750" Properties=species:S:1:pos:R:3 pbc="T T T"
Mo 0.0000 0.0000 0.0000
Nb -1.0305 -2.4096 0.9005
Ga -2.0610 -4.8192 1.8010
Ti -3.0915 -7.2288 2.7015
```

Output
Raw total energy = -32.77 eV for the cell shown
Fermi-level density of states = 1.47 states/eV/cell
Polymorph energy (0 for the lowest one) = 0.33 eV/f.u.
Calculated formation energy = -237 meV per atom
Symmetry = F-43m (216)
Crystal system = cubic

VASP calculation (PBE) on an optimized crystal structure of Tl2ZnIr.

```
4
Lattice="6.8578 -0.0131 0.0189 6.1844 2.9635 0.0189 1.5842 0.3584 4.3870" Properties=species:S:1:pos:R:3 pbc="T T T"
Ir 3.4830 0.7879 1.1697
Tl 12.4931 2.8263 0.2462
Tl 10.9226 2.4710 3.3343
Zn 8.0829 1.8286 1.9248
```

Output
Raw total energy = -13.91 eV for the cell shown
Fermi-level density of states = 1.23 states/eV/cell
Polymorph energy (0 for the lowest one) = 0.49 eV/f.u.
Calculated formation energy = 240 meV per atom
Symmetry = Cm (8)
Crystal system = monoclinic

VASP calculation (PBE) on an optimized crystal structure of Li3TlMo.

```
5
Lattice="-4.4327 1.1810 1.8299 -2.1560 -2.9666 -3.3081 0.3081 -3.7679 3.1782" Properties=species:S:1:pos:R:3 pbc="T T T"
Tl 0.0000 0.0000 0.0000
Mo -3.1403 -2.7767 0.8500
Li -1.0780 -1.4833 -1.6540
Li 0.1540 -1.8839 1.5891
Li -2.2164 0.5905 0.9149
```

Output
Raw total energy = -14.21 eV for the cell shown
Fermi-level density of states = 0.89 states/eV/cell
Polymorph energy (0 for the lowest one) = 0.00 eV/f.u.
Calculated formation energy = 947 meV per atom
Symmetry = Pm-3m (221)
Crystal system = cubic

VASP calculation (PBE) on an optimized crystal structure of Re2TcAg.

```
4
Lattice="4.7906 0.0000 0.0000 1.5156 4.5445 0.0000 -3.1531 -2.2722 2.8008" Properties=species:S:1:pos:R:3 pbc="T T T"
Ag 2.3953 0.0000 1.4004
Re 0.0000 0.0000 0.0000
Re 0.7578 2.2723 1.4004
Tc 3.1531 2.2722 0.0000
```

Output
Raw total energy = -36.01 eV for the cell shown
Fermi-level density of states = 3.55 states/eV/cell
Polymorph energy (0 for the lowest one) = 1.10 eV/f.u.
Calculated formation energy = 526 meV per atom
Symmetry = I-4m2 (119)
Crystal system = tetragonal

VASP calculation (PBE) on an optimized crystal structure of HfCd2In.

```
4
Lattice="-0.0335 -3.0153 -1.0156 0.3964 -1.0117 2.9907 -8.8893 -0.2675 1.0878" Properties=species:S:1:pos:R:3 pbc="T T T"
Cd -6.5687 -0.1977 0.8038
Cd -2.3206 -0.0698 0.2840
Hf -4.2632 -2.1473 1.5314
In 0.1814 -2.0135 0.9875
```

Output
Raw total energy = -14.36 eV for the cell shown
Fermi-level density of states = 2.73 states/eV/cell
Calculated formation energy = 41 meV per atom
Symmetry = P4/mmm (123)
Crystal system = tetragonal

VASP calculation (PBE) on an optimized crystal structure of Na3Bi2SbTe6.

```
12
Lattice="-7.1116 -2.7250 1.4926 3.5745 -1.8985 -6.6218 4.2412 -4.5819 5.1186" Properties=species:S:1:pos:R:3 pbc="T T T"
Na 3.8905 -4.3290 -2.6922
Na -3.1864 -4.8764 2.6817
Na 0.3520 -4.6027 -0.0053
Bi 0.0072 -2.1744 -3.9130
Bi -3.5443 -2.4491 -1.2162
Sb 0.0000 0.0000 0.0000
Te -1.1839 -7.1478 1.3560
Te -1.6616 -4.5490 -2.6515
Te 1.8879 -2.0575 -1.3665
Te 2.3122 -6.8774 -1.2987
Te 2.3656 -4.6564 2.6410
Te -1.6082 -2.3279 1.2882
```

Output
Raw total energy = -40.87 eV for the cell shown
Formation energy (no corrections) = -0.515 eV per atom
Symmetry = C2/m (12)
Crystal system = monoclinic

VASP calculation (PBE) on an optimized crystal structure of Rb3Ce2NdTe6.

```
12
Lattice="8.1090 -0.0013 0.0002 -4.0536 7.0231 0.0002 -1.3522 -2.3413 8.5398" Properties=species:S:1:pos:R:3 pbc="T T T"
Rb -2.7052 4.6833 4.2701
Rb 5.4085 -0.0027 4.2701
Rb 1.3516 2.3403 4.2701
Ce 0.0004 4.6818 0.0002
Ce 4.0550 2.3401 0.0002
Nd 0.0000 0.0000 0.0000
Te 4.0517 2.3447 6.7941
Te 2.7065 4.6863 1.7461
Te -1.3484 2.3359 1.7461
Te 0.0060 4.6812 6.7941
Te -0.0033 -0.0057 6.7941
Te 2.6972 -0.0006 1.7461
```

Output
Raw total energy = -54.73 eV for the cell shown
Fermi-level density of states = 12.50 states/eV/cell
Formation energy (no corrections) = -1.362 eV per atom
Symmetry = C2/m (12)
Crystal system = monoclinic